(1)
Computed, not measured: crystalline Rb2SbH2 at its relaxed geometry at the GGA-PBE level of DFT.

Unit cell a=4.3164 b=4.3164 c=7.9502 alpha=105.64 beta=105.64 gamma=90.05
Closest atoms and distances in Å follow each position.
Fractional positions:
1 Rb 0.1434 0.1434 0.2886  5 H 3.05-3.07
2 Rb 0.8566 0.8566 0.7114  5 H 3.05-3.07
3 Sb 0.5000 0.5000 0.0000  2 H 2.16
4 H 0.3541 0.3541 0.7060  1 Sb 2.16
5 H 0.6459 0.6459 0.2940  1 Sb 2.16

energy: -13.0 eV/cell
spin magnetization: 0.00 μB per formula unit
V: 137 Å³ per cell
DOS at the Fermi energy: 0.3036 states/eV per atom



(2)
Computed, not measured: crystalline Nb2TlH at its relaxed geometry at the GGA-PBE level of DFT.

Unit cell a=4.5935 b=4.5935 c=4.5935 alpha=60.00 beta=60.00 gamma=60.00
Closest atoms and distances in Å follow each position.
Fractional positions:
1 Nb 0.2500 0.2500 0.2500  4 Tl 2.81, 4 H 2.81
2 Nb 0.7500 0.7500 0.7500  4 Tl 2.81, 4 H 2.81
3 Tl 0.0000 0.0000 0.0000  8 Nb 2.81
4 H 0.5000 0.5000 0.5000  8 Nb 2.81

offset from the most stable computed form: 0.766 eV/atom
energy: -22.2 eV/cell
spin magnetization: 0.00 μB per formula unit
V: 69 Å³ per cell
DOS at the Fermi energy: 1.1444 states/eV per atom



(3)
Computed, not measured: crystalline SrMn2Ir at its relaxed geometry at the GGA-PBE level of DFT.

Unit cell a=7.0308 b=7.0308 c=7.0308 alpha=153.14 beta=144.83 gamma=44.80
Closest atoms and distances in Å follow each position.
Fractional positions:
1 Sr 0.0000 0.0000 0.0000  2 Ir 3.10, 2 Sr 3.27, 4 Mn 3.32
2 Mn 0.2878 0.7878 0.5000  4 Ir 2.68, 2 Mn 2.78
3 Mn 0.6504 0.6504 0.0000  2 Ir 2.51, 2 Mn 2.78
4 Ir 0.7972 0.2972 0.5000  6 Mn 2.51-2.68

energy of formation from the pure elements: 37.45 kJ per mole of atoms
energy: -27.3 eV/cell
spin magnetization: 8.85 μB per formula unit
V: 90 Å³ per cell
DOS at the Fermi energy: 0.5268 states/eV per atom



(4)
Computed, not measured: crystalline Tl15CdIn4 at its relaxed geometry at the GGA-PBE level of DFT.

Unit cell a=5.0013 b=5.0013 c=23.7630 alpha=90.00 beta=90.00 gamma=90.00
Closest atoms and distances in Å follow each position.
Fractional positions:
1 Tl 0.0000 0.0000 0.0000  8 Tl 3.43, 4 Cd 3.54
2 Tl 0.0000 0.0000 0.1988  8 Tl 3.45-3.47, 4 In 3.54
3 Tl 0.0000 0.0000 0.4006  8 Tl 3.44-3.46, 4 In 3.54
4 Tl 0.0000 0.0000 0.5994  8 Tl 3.44-3.46, 4 In 3.54
5 Tl 0.0000 0.0000 0.8012  8 Tl 3.45-3.47, 4 In 3.54
6 Tl 0.0000 0.5000 0.0989  2 Cd 3.43, 8 Tl 3.43-3.54, 2 In 3.47
7 Tl 0.0000 0.5000 0.2999  4 In 3.45, 8 Tl 3.46-3.54
8 Tl 0.0000 0.5000 0.5000  8 Tl 3.44-3.54, 4 In 3.45
9 Tl 0.0000 0.5000 0.7001  4 In 3.45, 8 Tl 3.46-3.54
10 Tl 0.0000 0.5000 0.9011  2 Cd 3.43, 8 Tl 3.43-3.54, 2 In 3.47
11 Tl 0.5000 0.0000 0.0989  2 Cd 3.43, 8 Tl 3.43-3.54, 2 In 3.47
12 Tl 0.5000 0.0000 0.2999  4 In 3.45, 8 Tl 3.46-3.54
13 Tl 0.5000 0.0000 0.5000  8 Tl 3.44-3.54, 4 In 3.45
14 Tl 0.5000 0.0000 0.7001  4 In 3.45, 8 Tl 3.46-3.54
15 Tl 0.5000 0.0000 0.9011  2 Cd 3.43, 8 Tl 3.43-3.54, 2 In 3.47
16 Cd 0.5000 0.5000 0.0000  12 Tl 3.43-3.54
17 In 0.5000 0.5000 0.1999  12 Tl 3.45-3.54
18 In 0.5000 0.5000 0.4000  12 Tl 3.45-3.54
19 In 0.5000 0.5000 0.6000  12 Tl 3.45-3.54
20 In 0.5000 0.5000 0.8001  12 Tl 3.45-3.54

energy of formation from the pure elements: 4.40 kJ per mole of atoms
energy: -46.5 eV/cell
spin magnetization: 0.00 μB per formula unit
V: 594 Å³ per cell
DOS at the Fermi energy: 0.7218 states/eV per atom



(5)
Computed, not measured: crystalline Mg14FeSn at its relaxed geometry at the GGA-PBE level of DFT.

Unit cell a=6.3020 b=6.3020 c=10.0694 alpha=90.00 beta=90.00 gamma=120.00
Closest atoms and distances in Å follow each position.
Fractional positions:
1 Mg 0.0000 0.0000 0.2470  12 Mg 3.09-3.15
2 Mg 0.0000 0.0000 0.7530  12 Mg 3.09-3.15
3 Mg 0.0088 0.5044 0.2605  1 Fe 2.99, 10 Mg 3.04-3.23, 1 Sn 3.16
4 Mg 0.0088 0.5044 0.7395  1 Fe 2.99, 10 Mg 3.04-3.23, 1 Sn 3.16
5 Mg 0.3292 0.1646 0.5000  10 Mg 3.04-3.19, 2 Fe 3.15
6 Mg 0.3349 0.1675 0.0000  10 Mg 3.09-3.20, 2 Sn 3.15
7 Mg 0.4956 0.5044 0.2605  1 Fe 2.99, 10 Mg 3.04-3.23, 1 Sn 3.16
8 Mg 0.4956 0.5044 0.7395  1 Fe 2.99, 10 Mg 3.04-3.23, 1 Sn 3.16
9 Mg 0.4956 0.9912 0.2605  1 Fe 2.99, 10 Mg 3.04-3.23, 1 Sn 3.16
10 Mg 0.4956 0.9912 0.7395  1 Fe 2.99, 10 Mg 3.04-3.23, 1 Sn 3.16
11 Mg 0.8325 0.1675 0.0000  10 Mg 3.09-3.20, 2 Sn 3.15
12 Mg 0.8325 0.6651 0.0000  10 Mg 3.09-3.20, 2 Sn 3.15
13 Mg 0.8354 0.1646 0.5000  10 Mg 3.04-3.19, 2 Fe 3.15
14 Mg 0.8354 0.6708 0.5000  10 Mg 3.04-3.19, 2 Fe 3.15
15 Fe 0.3333 0.6667 0.5000  12 Mg 2.99-3.15
16 Sn 0.3333 0.6667 0.0000  12 Mg 3.15-3.16

offset from the most stable computed form: 0.000 eV/atom
energy of formation from the pure elements: 4.20 kJ per mole of atoms
energy: -34.1 eV/cell
spin magnetization: 2.07 μB per formula unit
V: 346 Å³ per cell
DOS at the Fermi energy: 0.5254 states/eV per atom



(6)
Computed, not measured: crystalline ThAl2ZnAg at its relaxed geometry at the GGA-PBE level of DFT.

Unit cell a=6.1900 b=6.1900 c=6.1900 alpha=139.04 beta=139.04 gamma=59.31
Closest atoms and distances in Å follow each position.
Fractional positions:
1 Th 0.0000 0.0000 0.0000  8 Al 3.31, 4 Zn 3.45, 4 Ag 3.45
2 Al 0.3821 0.3821 0.0000  1 Al 2.54, 2 Zn 2.59, 2 Ag 2.59
3 Al 0.6179 0.6179 0.0000  1 Al 2.54, 2 Zn 2.59, 2 Ag 2.59
4 Zn 0.2500 0.7500 0.5000  4 Al 2.59
5 Ag 0.7500 0.2500 0.5000  4 Al 2.59

energy of formation from the pure elements: -32.95 kJ per mole of atoms
energy: -20.7 eV/cell
spin magnetization: 0.00 μB per formula unit
V: 101 Å³ per cell
DOS at the Fermi energy: 0.2566 states/eV per atom



(7)
Computed, not measured: crystalline Cd2InWBr at its relaxed geometry at the GGA-PBE level of DFT.

Unit cell a=5.4627 b=5.4627 c=5.7878 alpha=90.00 beta=90.00 gamma=90.00
Closest atoms and distances in Å follow each position.
Fractional positions:
1 Cd 0.0000 0.5000 0.0000  2 Br 2.73
2 Cd 0.5000 0.0000 0.0000  2 Br 2.73
3 In 0.0000 0.0000 0.5000  2 Br 2.89
4 W 0.5000 0.5000 0.5000  4 In 3.86, 8 Cd 3.98
5 Br 0.0000 0.0000 0.0000  4 Cd 2.73, 2 In 2.89

energy: -11.3 eV/cell
spin magnetization: 4.68 μB per formula unit
raw formation energy: 7.9 eV per formula unit
V: 173 Å³ per cell
DOS at the Fermi energy: 0.7435 states/eV per atom



(8)
Computed, not measured: crystalline SiIrNO2 at its relaxed geometry at the GGA-PBE level of DFT.

Unit cell a=4.0767 b=4.0767 c=3.6892 alpha=90.00 beta=90.00 gamma=90.00
Closest atoms and distances in Å follow each position.
Fractional positions:
1 Si 0.0000 0.0000 0.0000  8 O 2.75, 4 N 2.88
2 Ir 0.5000 0.5000 0.5000  2 N 1.84, 4 O 2.04
3 N 0.5000 0.5000 0.0000  2 Ir 1.84
4 O 0.0000 0.5000 0.5000  2 Ir 2.04
5 O 0.5000 0.0000 0.5000  2 Ir 2.04

energy: -30.8 eV/cell
spin magnetization: 0.00 μB per formula unit
raw formation energy: 1.8 eV per formula unit
V: 61 Å³ per cell
DOS at the Fermi energy: 0.3774 states/eV per atom



> energy of number 4 (Tl15CdIn4)?

-46.5 eV/cell



> Which value of V does entry 3 give?

90 Å³ per cell



> The highest V belongs to which entry?

Tl15CdIn4